Model A:
A plane-wave DFT calculation with PBE was carried out for a geometry-optimized Er3Zr3FeBi2 structure.

a b c (Å): 8.0246 8.0246 4.0015
angles (deg): 90.00 90.00 120.00
With the nearest neighbours (Å) after each atom.
Fractional positions:
Er (0.6120, 0.0000, 0.0000)  1 Fe 3.11, 4 Bi 3.19, 4 Zr 3.37
Er (0.3880, 0.3880, 0.0000)  1 Fe 3.11, 4 Bi 3.19, 4 Zr 3.37
Er (0.0000, 0.6120, 0.0000)  1 Fe 3.11, 4 Bi 3.19, 4 Zr 3.37
Bi (0.6667, 0.3333, 0.5000)  6 Er 3.19, 3 Zr 3.22
Bi (0.3333, 0.6667, 0.5000)  6 Er 3.19, 3 Zr 3.22
Zr (0.7778, 0.7778, 0.5000)  2 Fe 2.68
Zr (0.0000, 0.2222, 0.5000)  2 Fe 2.68
Zr (0.2222, 0.0000, 0.5000)  2 Fe 2.68
Fe (0.0000, 0.0000, 0.0000)  6 Zr 2.68

* crystal system: hexagonal

=====

Model B:
A plane-wave DFT calculation with PBE was carried out for a geometry-optimized Er3Zr3FeBi2 structure.

a b c (Å): 8.1206 8.1206 3.8024
angles (deg): 90.00 90.00 120.00
With the nearest neighbours (Å) after each atom.
Fractional positions:
Zr (0.6095, 0.0000, 0.0000)  4 Bi 3.15, 1 Fe 3.17, 4 Er 3.36
Zr (0.0000, 0.6095, 0.0000)  4 Bi 3.15, 1 Fe 3.17, 4 Er 3.36
Zr (0.3905, 0.3905, 0.0000)  4 Bi 3.15, 1 Fe 3.17, 4 Er 3.36
Er (0.0000, 0.2411, 0.5000)  2 Fe 2.73
Er (0.2411, 0.0000, 0.5000)  2 Fe 2.73
Er (0.7589, 0.7589, 0.5000)  2 Fe 2.73
Bi (0.6667, 0.3333, 0.5000)  6 Zr 3.15, 3 Er 3.15
Bi (0.3333, 0.6667, 0.5000)  6 Zr 3.15, 3 Er 3.15
Fe (0.0000, 0.0000, 0.0000)  6 Er 2.73

* crystal system: hexagonal

=====

model A comes first in stability; the runner-up is 166 meV per atom higher.

=====

Model A:
A plane-wave DFT calculation with PBE was carried out for a geometry-optimized Er3Hf3Bi2Os structure.

a b c (Å): 7.9819 7.9819 4.0739
angles (deg): 90.00 90.00 120.00
With the nearest neighbours (Å) after each atom.
Fractional positions:
Er (0.3901, 0.3901, 0.0000)  1 Os 3.11, 4 Bi 3.20, 4 Hf 3.39
Er (0.6099, 0.0000, 0.0000)  1 Os 3.11, 4 Bi 3.20, 4 Hf 3.39
Er (0.0000, 0.6099, 0.0000)  1 Os 3.11, 4 Bi 3.20, 4 Hf 3.39
Hf (0.0000, 0.2257, 0.5000)  2 Os 2.72
Hf (0.2257, 0.0000, 0.5000)  2 Os 2.72
Hf (0.7743, 0.7743, 0.5000)  2 Os 2.72
Os (0.0000, 0.0000, 0.0000)  6 Hf 2.72
Bi (0.3333, 0.6667, 0.5000)  3 Hf 3.18, 6 Er 3.20
Bi (0.6667, 0.3333, 0.5000)  3 Hf 3.18, 6 Er 3.20

* crystal system: hexagonal

=====

Model B:
A plane-wave DFT calculation with PBE was carried out for a geometry-optimized Er3Hf3Bi2Os structure.

a b c (Å): 8.1125 8.1125 3.8609
angles (deg): 90.00 90.00 120.00
With the nearest neighbours (Å) after each atom.
Fractional positions:
Bi (0.6667, 0.3333, 0.5000)  3 Er 3.11, 6 Hf 3.20
Bi (0.3333, 0.6667, 0.5000)  3 Er 3.11, 6 Hf 3.20
Hf (0.3752, 0.3752, 0.0000)  1 Os 3.04, 4 Bi 3.20, 4 Er 3.30
Hf (0.6248, 0.0000, 0.0000)  1 Os 3.04, 4 Bi 3.20, 4 Er 3.30
Hf (0.0000, 0.6248, 0.0000)  1 Os 3.04, 4 Bi 3.20, 4 Er 3.30
Er (0.0000, 0.2476, 0.5000)  2 Os 2.79, 2 Bi 3.11
Er (0.7524, 0.7524, 0.5000)  2 Os 2.79, 2 Bi 3.11
Er (0.2476, 0.0000, 0.5000)  2 Os 2.79, 2 Bi 3.11
Os (0.0000, 0.0000, 0.0000)  6 Er 2.79, 3 Hf 3.04

* crystal system: hexagonal

=====

model A comes first in stability; the runner-up is 268 meV per atom higher.

=====

Model A:
A plane-wave DFT calculation with PBE was carried out for a geometry-optimized ErBiMo structure.

a b c (Å): 4.9954 4.9954 4.9954
angles (deg): 60.00 60.00 60.00
With the nearest neighbours (Å) after each atom.
Fractional positions:
Bi (0.2500, 0.2500, 0.2500)  4 Er 3.06
Er (0.0000, 0.0000, 0.0000)  4 Bi 3.06, 4 Mo 3.06
Mo (0.7500, 0.7500, 0.7500)  4 Er 3.06

* crystal system: cubic

=====

Model B:
A plane-wave DFT calculation with PBE was carried out for a geometry-optimized ErBiMo structure.

a b c (Å): 4.7796 4.7796 4.7796
angles (deg): 60.00 60.00 60.00
With the nearest neighbours (Å) after each atom.
Fractional positions:
Bi (0.2500, 0.2500, 0.2500)  4 Mo 2.93
Er (0.7500, 0.7500, 0.7500)  4 Mo 2.93
Mo (0.0000, 0.0000, 0.0000)  4 Bi 2.93, 4 Er 2.93

* crystal system: cubic

=====

model B comes first in stability; the runner-up is 486 meV per atom higher.

=====

Model A:
A plane-wave DFT calculation with PBE was carried out for a geometry-optimized Er3Sc3Bi2Os structure.

a b c (Å): 8.0743 8.0743 4.0694
angles (deg): 90.00 90.00 120.00
With the nearest neighbours (Å) after each atom.
Fractional positions:
Er (0.2401, 0.0000, 0.5000)  2 Os 2.81, 2 Bi 3.14
Er (0.7599, 0.7599, 0.5000)  2 Os 2.81, 2 Bi 3.14
Er (0.0000, 0.2401, 0.5000)  2 Os 2.81, 2 Bi 3.14
Sc (0.6173, 0.0000, 0.0000)  1 Os 3.09, 4 Bi 3.24, 4 Er 3.38
Sc (0.0000, 0.6173, 0.0000)  1 Os 3.09, 4 Bi 3.24, 4 Er 3.38
Sc (0.3827, 0.3827, 0.0000)  1 Os 3.09, 4 Bi 3.24, 4 Er 3.38
Bi (0.6667, 0.3333, 0.5000)  3 Er 3.14, 6 Sc 3.24
Bi (0.3333, 0.6667, 0.5000)  3 Er 3.14, 6 Sc 3.24
Os (0.0000, 0.0000, 0.0000)  6 Er 2.81, 3 Sc 3.09

* crystal system: hexagonal

=====

Model B:
A plane-wave DFT calculation with PBE was carried out for a geometry-optimized Er3Sc3Bi2Os structure.

a b c (Å): 7.9196 7.9196 4.1898
angles (deg): 90.00 90.00 120.00
With the nearest neighbours (Å) after each atom.
Fractional positions:
Sc (0.0000, 0.2251, 0.5000)  2 Os 2.75
Sc (0.2251, 0.0000, 0.5000)  2 Os 2.75
Sc (0.7749, 0.7749, 0.5000)  2 Os 2.75
Bi (0.3333, 0.6667, 0.5000)  3 Sc 3.16, 6 Er 3.23
Bi (0.6667, 0.3333, 0.5000)  3 Sc 3.16, 6 Er 3.23
Er (0.3852, 0.3852, 0.0000)  1 Os 3.05, 4 Bi 3.23, 4 Sc 3.38
Er (0.6148, 0.0000, 0.0000)  1 Os 3.05, 4 Bi 3.23, 4 Sc 3.38
Er (0.0000, 0.6148, 0.0000)  1 Os 3.05, 4 Bi 3.23, 4 Sc 3.38
Os (0.0000, 0.0000, 0.0000)  6 Sc 2.75, 3 Er 3.05

* crystal system: hexagonal

=====

model B comes first in stability; the runner-up is 136 meV per atom higher.

=====

Model A:
A plane-wave DFT calculation with PBE was carried out for a geometry-optimized Er3Zr3Bi2Os structure.

a b c (Å): 8.1472 8.1472 3.8555
angles (deg): 90.00 90.00 120.00
With the nearest neighbours (Å) after each atom.
Fractional positions:
Zr (0.3889, 0.0000, 0.0000)  1 Os 3.17, 4 Bi 3.17, 4 Er 3.38
Zr (0.0000, 0.3889, 0.0000)  1 Os 3.17, 4 Bi 3.17, 4 Er 3.38
Zr (0.6111, 0.6111, 0.0000)  1 Os 3.17, 4 Bi 3.17, 4 Er 3.38
Os (0.0000, 0.0000, 0.0000)  6 Er 2.77
Er (0.2447, 0.2447, 0.5000)  2 Os 2.77
Er (0.0000, 0.7553, 0.5000)  2 Os 2.77
Er (0.7553, 0.0000, 0.5000)  2 Os 2.77
Bi (0.6667, 0.3333, 0.5000)  3 Er 3.14, 6 Zr 3.17
Bi (0.3333, 0.6667, 0.5000)  3 Er 3.14, 6 Zr 3.17

* crystal system: hexagonal

=====

Model B:
A plane-wave DFT calculation with PBE was carried out for a geometry-optimized Er3Zr3Bi2Os structure.

a b c (Å): 8.0913 8.0913 3.9958
angles (deg): 90.00 90.00 120.00
With the nearest neighbours (Å) after each atom.
Fractional positions:
Os (0.0000, 0.0000, 0.0000)  6 Zr 2.75
Zr (0.7672, 0.0000, 0.5000)  2 Os 2.75
Zr (0.2328, 0.2328, 0.5000)  2 Os 2.75
Zr (0.0000, 0.7672, 0.5000)  2 Os 2.75
Bi (0.6667, 0.3333, 0.5000)  3 Zr 3.18, 6 Er 3.20
Bi (0.3333, 0.6667, 0.5000)  3 Zr 3.18, 6 Er 3.20
Er (0.3899, 0.0000, 0.0000)  1 Os 3.15, 4 Bi 3.20, 4 Zr 3.40
Er (0.0000, 0.3899, 0.0000)  1 Os 3.15, 4 Bi 3.20, 4 Zr 3.40
Er (0.6101, 0.6101, 0.0000)  1 Os 3.15, 4 Bi 3.20, 4 Zr 3.40

* crystal system: hexagonal

=====

model B comes first in stability; the runner-up is 163 meV per atom higher.

=====

Model A:
A plane-wave DFT calculation with PBE was carried out for a geometry-optimized FeBi3 structure.

a b c (Å): 5.3530 5.3530 5.3530
angles (deg): 60.00 60.00 60.00
With the nearest neighbours (Å) after each atom.
Fractional positions:
Bi (0.2500, 0.2500, 0.2500)  8 Bi 3.28
Bi (0.0000, 0.0000, 0.0000)  4 Bi 3.28, 4 Fe 3.28
Bi (0.5000, 0.5000, 0.5000)  4 Fe 3.28, 4 Bi 3.28
Fe (0.7500, 0.7500, 0.7500)  8 Bi 3.28

* crystal system: cubic

=====

Model B:
A plane-wave DFT calculation with PBE was carried out for a geometry-optimized FeBi3 structure.

a b c (Å): 8.9869 4.1133 11.8594
angles (deg): 90.00 90.00 90.00
With the nearest neighbours (Å) after each atom.
Fractional positions:
Bi (0.2937, 0.2500, 0.3899)  3 Fe 2.79
Bi (0.5928, 0.7500, 0.3219)  3 Fe 2.76-2.82
Bi (0.4072, 0.2500, 0.6781)  3 Fe 2.76-2.82
Bi (0.6322, 0.7500, 0.9071)  1 Fe 2.77
Bi (0.1322, 0.7500, 0.5929)  1 Fe 2.77
Bi (0.7937, 0.2500, 0.1101)  3 Fe 2.79
Bi (0.9072, 0.2500, 0.8219)  3 Fe 2.76-2.82
Bi (0.7063, 0.7500, 0.6101)  3 Fe 2.79
Bi (0.3678, 0.2500, 0.0929)  1 Fe 2.77
Bi (0.2063, 0.7500, 0.8899)  3 Fe 2.79
Bi (0.0928, 0.7500, 0.1781)  3 Fe 2.76-2.82
Bi (0.8678, 0.2500, 0.4071)  1 Fe 2.77
Fe (0.5774, 0.2500, 0.4844)  2 Fe 2.51, 5 Bi 2.76-2.79
Fe (0.4226, 0.7500, 0.5156)  2 Fe 2.51, 5 Bi 2.76-2.79
Fe (0.9226, 0.7500, 0.9844)  2 Fe 2.51, 5 Bi 2.76-2.79
Fe (0.0774, 0.2500, 0.0156)  2 Fe 2.51, 5 Bi 2.76-2.79

* crystal system: orthorhombic

=====

Model C:
A plane-wave DFT calculation with PBE was carried out for a geometry-optimized FeBi3 structure.

a b c (Å): 7.9088 7.9088 4.0559
angles (deg): 90.00 90.00 120.00
With the nearest neighbours (Å) after each atom.
Fractional positions:
Bi (0.8086, 0.1914, 0.7500)  2 Fe 2.81
Bi (0.6172, 0.8086, 0.2500)  2 Fe 2.81
Bi (0.1914, 0.8086, 0.2500)  2 Fe 2.81
Bi (0.3828, 0.1914, 0.7500)  2 Fe 2.81
Bi (0.8086, 0.6172, 0.7500)  2 Fe 2.81
Bi (0.1914, 0.3828, 0.2500)  2 Fe 2.81
Fe (0.6667, 0.3333, 0.2500)  6 Bi 2.81
Fe (0.3333, 0.6667, 0.7500)  6 Bi 2.81

* crystal system: hexagonal

=====

model B comes first in stability; the runner-up is 293 meV per atom higher.